Record 1
Entry from Alexandria via LeMat-Bulk: a geometry-optimized Tb2AlB2Ir5 structure (PBE).

abc: 9.651 9.651 3.141
angles: 90.00 90.00 90.00
Space group P4/mbm (No. 127)
One atom of each set of equivalent atoms:
1 Tb 0.178 0.322 0.000 (multiplicity 4)
2 Al 0.000 0.000 0.000 (multiplicity 2)
3 B 0.122 0.622 0.000 (multiplicity 4)
4 Ir 0.000 0.500 0.500 (multiplicity 2)
5 Ir 0.068 0.781 0.500 (multiplicity 8)

Results
E, eV/atom: -7.850
Magnetization, μB/cell: 0.0
DOS(E_F), states/eV/cell: 6.5

Record 2
Entry from Alexandria via LeMat-Bulk: a geometry-optimized TiAlBIr2 structure (PBE).

abc: 4.067 4.067 4.264
angles: 90.00 90.00 90.00
Space group P4/mmm (No. 123)
One atom of each set of equivalent atoms:
1 Ti 0.000 0.000 0.000 (multiplicity 1)
2 Al 0.500 0.500 0.000 (multiplicity 1)
3 B 0.500 0.500 0.500 (multiplicity 1)
4 Ir 0.000 0.500 0.500 (multiplicity 2)

Results
E, eV/atom: -7.445
Magnetization, μB/cell: 0.3
DOS(E_F), states/eV/cell: 3.4

Record 3
Entry from Alexandria via LeMat-Bulk: a geometry-optimized AlTlB2Ir structure (PBE).

abc: 4.038 4.038 5.457
angles: 90.00 90.00 90.00
Space group P4/mmm (No. 123)
One atom of each set of equivalent atoms:
1 Al 0.000 0.000 0.000 (multiplicity 1)
2 Tl 0.000 0.000 0.500 (multiplicity 1)
3 B 0.000 0.500 0.000 (multiplicity 2)
4 Ir 0.500 0.500 0.500 (multiplicity 1)

Results
E, eV/atom: -3.910
Magnetization, μB/cell: 0.0
DOS(E_F), states/eV/cell: 3.4

Record 4
Entry from Alexandria via LeMat-Bulk: a geometry-optimized Tm2AlB2Ir5 structure (PBE).

abc: 9.566 9.566 3.120
angles: 90.00 90.00 90.00
Space group P4/mbm (No. 127)
One atom of each set of equivalent atoms:
1 Tm 0.177 0.323 0.000 (multiplicity 4)
2 Al 0.000 0.000 0.000 (multiplicity 2)
3 B 0.122 0.622 0.000 (multiplicity 4)
4 Ir 0.000 0.500 0.500 (multiplicity 2)
5 Ir 0.068 0.782 0.500 (multiplicity 8)

Results
E, eV/atom: -7.896
Magnetization, μB/cell: 0.0
DOS(E_F), states/eV/cell: 6.1